## HfVFeTc (PBE-GGA)

Data for crystalline HfVFeTc at its relaxed geometry.

Cell: 4.3532 4.3532 4.3532 Å, 60.00 60.00 60.00°
Last column: nearest neighbours and their distance in Å.
Sites, in units of the cell vectors:
V1 0.0000 0.0000 0.0000  4 Fe 2.67, 4 Tc 2.67
Hf1 0.5000 0.5000 0.5000  4 Fe 2.67, 4 Tc 2.67
Tc1 0.2500 0.2500 0.2500  4 V 2.67, 4 Hf 2.67
Fe1 0.7500 0.7500 0.7500  4 V 2.67, 4 Hf 2.67

Formation enthalpy at 0 K in eV/atom: -0.2678
Calculated density in g cm⁻³: 10.91
Space group: F-43m
Crystal system: cubic
Electronic total energy in eV/atom: -9.74

---

## LiMgPtO4 (PBE-GGA)

Data for crystalline LiMgPtO4 at its relaxed geometry.

Cell: 6.0269 6.0951 6.0951 Å, 60.86 60.37 60.37°
Last column: nearest neighbours and their distance in Å.
Sites, in units of the cell vectors:
Li1 0.6434 0.6066 0.1066  4 O 1.99-2.10
Li2 0.3566 0.3934 0.8934  4 O 1.99-2.10
Mg1 0.5000 0.0000 0.5000  6 O 2.08-2.13
Mg2 0.0000 0.0000 0.5000  6 O 2.08-2.13
Pt1 0.0000 0.0000 0.0000  6 O 1.98-2.04
Pt2 0.0000 0.5000 0.5000  6 O 1.98-2.04
O1 0.7702 0.7499 0.7098  1 Pt 1.98, 1 Li 1.99, 2 Mg 2.08
O2 0.2298 0.7902 0.7501  1 Pt 1.98, 1 Li 1.99, 2 Mg 2.08
O3 0.7702 0.2098 0.2499  1 Pt 1.98, 1 Li 1.99, 2 Mg 2.08
O4 0.2298 0.2501 0.2902  1 Pt 1.98, 1 Li 1.99, 2 Mg 2.08
O5 0.2185 0.7531 0.2531  2 Pt 2.04, 1 Li 2.10, 1 Mg 2.13
O6 0.7754 0.7531 0.2531  2 Pt 2.04, 1 Li 2.10, 1 Mg 2.13
O7 0.2246 0.2469 0.7469  2 Pt 2.04, 1 Li 2.10, 1 Mg 2.13
O8 0.7815 0.2469 0.7469  2 Pt 2.04, 1 Li 2.10, 1 Mg 2.13

Calculated density in g cm⁻³: 6.02
Uncorrected formation energy in meV per atom: -1437
Space group: Imma
Crystal system: orthorhombic
Electronic total energy in eV/atom: -5.63

---

## BaInPd3 (PBE-GGA)

Data for crystalline BaInPd3 at its relaxed geometry.

Cell: 5.7224 7.1424 7.1424 Å, 82.54 66.38 66.38°
Last column: nearest neighbours and their distance in Å.
Sites, in units of the cell vectors:
Ba1 0.0441 0.7059 0.2059  11 Pd 3.40-3.74, 4 In 3.73
Ba2 0.9559 0.2941 0.7941  11 Pd 3.40-3.74, 4 In 3.73
In1 0.5000 0.5000 0.5000  6 Pd 2.69-2.76
In2 0.5000 0.0000 0.0000  6 Pd 2.69-2.76
Pd1 0.5000 0.7675 0.7325  2 In 2.69, 4 Pd 2.74-2.86
Pd2 0.0000 0.7675 0.7325  2 In 2.69, 4 Pd 2.74-2.86
Pd3 0.0000 0.2325 0.2675  2 In 2.69, 4 Pd 2.74-2.86
Pd4 0.5000 0.2325 0.2675  2 In 2.69, 4 Pd 2.74-2.86
Pd5 0.6588 0.0912 0.5912  4 Pd 2.74, 2 In 2.76
Pd6 0.3412 0.9088 0.4088  4 Pd 2.74, 2 In 2.76

Formation enthalpy at 0 K in eV/atom: -0.5248
Calculated density in g cm⁻³: 7.75
ΔE to the lowest computed polymorph in meV/atom: 0
Space group: Imma
Crystal system: orthorhombic
Electronic total energy in eV/atom: -4.57

---

Question: Which formula does entry 3 have?
Answer: BaInPd3